# CdFeCoSn

An optimized crystal structure of CdFeCoSn (PBE, OQMD).

Values from the calculation:
Magnetic moment   2.8 μB/cell
E above lowest polymorph   0.0 meV/atom

```
CdFeCoSn
1.0
3.6878 1.0058 2.2791
0.1354 3.6770 2.5033
0.0324 -0.3294 4.4380
Fe Cd Sn Co
1 1 1 1
Cartesian
0.9639 1.0883 2.3051
1.9278 2.1767 4.6102
0.0000 0.0000 0.0000
2.8917 3.2650 6.9153
```